# 1
# LiIn2Cu4Ni

A geometry-optimized LiIn2Cu4Ni structure (PBE-GGA, OQMD).

The structure in POSCAR format:
```
LiIn2Cu4Ni
1.0
-2.9123 1.7783 -2.5856
1.5552 -2.2458 -3.2964
-3.9065 -4.5601 1.2638
Li In Ni Cu
1 2 1 4
direct
0.5000 0.5000 0.0000 Li
0.0000 0.0000 0.0000 In
0.5000 0.5000 0.5000 In
0.0000 0.0000 0.5000 Ni
0.5000 0.0000 0.2540 Cu
0.0000 0.5000 0.2540 Cu
0.5000 0.0000 0.7460 Cu
0.0000 0.5000 0.7460 Cu
```

Calculated values
**Space-group type**: P4/mmm (123)
**Total energy**: -28.1 eV for the cell shown

=====

# 2
# Li2Zn2In2CuNi

A geometry-optimized Li2Zn2In2CuNi structure (PBE-GGA, OQMD).

The structure in POSCAR format:
```
Li2Zn2In2CuNi
1.0
-0.3940 -2.5915 -3.5011
3.7650 1.5652 -1.5822
3.1104 -4.4822 2.9676
Li In Cu Zn Ni
2 2 1 2 1
direct
0.5000 0.5000 0.0000 Li
0.0000 0.0000 0.5000 Li
0.0000 0.5000 0.2580 In
0.5000 0.0000 0.7420 In
0.0000 0.0000 0.0000 Cu
0.5000 0.0000 0.2572 Zn
0.0000 0.5000 0.7428 Zn
0.5000 0.5000 0.5000 Ni
```

Calculated values
**Space-group type**: P-4m2 (115)
**Total energy**: -22.7 eV for the cell shown

=====

# 3
# Li4InCuPd2

A geometry-optimized Li4InCuPd2 structure (PBE-GGA, OQMD).

The structure in POSCAR format:
```
Li4InCuPd2
1.0
-1.3199 4.0673 0.6990
0.3927 -0.6068 4.2721
5.8649 1.9483 -0.2624
Li Cu Pd In
4 1 2 1
direct
0.5000 0.0000 0.7767 Li
0.0000 0.0000 0.0000 Li
0.5000 0.5000 0.5000 Li
0.0000 0.5000 0.2233 Li
0.5000 0.5000 0.0000 Cu
0.5000 0.0000 0.2359 Pd
0.0000 0.5000 0.7641 Pd
0.0000 0.0000 0.5000 In
```

Calculated values
**Space-group type**: P-4m2 (115)
**Total energy**: -27.5 eV for the cell shown

=====

# 4
# Li2Sc2In2CuPd

A geometry-optimized Li2Sc2In2CuPd structure (PBE-GGA, OQMD).

The structure in POSCAR format:
```
Li2Sc2In2CuPd
1.0
4.5882 0.0000 0.0000
0.0000 4.5882 0.0000
0.0000 0.0000 6.5137
Cu Li Sc In Pd
1 2 2 2 1
direct
0.0000 0.0000 0.0000 Cu
0.5000 0.5000 0.0000 Li
0.0000 0.0000 0.5000 Li
0.5000 0.0000 0.7498 Sc
0.0000 0.5000 0.2502 Sc
0.5000 0.0000 0.2441 In
0.0000 0.5000 0.7559 In
0.5000 0.5000 0.5000 Pd
```

Calculated values
**Space-group type**: P-4m2 (115)
**Total energy**: -34.8 eV for the cell shown